! TmSc2P PBE-GGA relaxed; values from VASP
! Energy relative to the elements ... -3.176 eV/f.u.
! Energy above the lowest structure with this stoichiometry ... 0.0 meV/atom
! Space group ... No. 62
&SYSTEM
  ibrav = 0, nat = 16, ntyp = 3
/
ATOMIC_SPECIES
Tm 168.93 Tm.upf
Sc 44.96 Sc.upf
P 30.97 P.upf
CELL_PARAMETERS angstrom
7.0129 0.0000 0.0000
0.0000 8.5662 0.0000
0.0000 0.0000 5.7868
ATOMIC_POSITIONS crystal
Tm 0.0228 0.2500 0.1285
Tm 0.4772 0.7500 0.6285
Tm 0.5228 0.2500 0.3715
Tm 0.9772 0.7500 0.8715
Sc 0.1769 0.0510 0.6408
Sc 0.1769 0.4490 0.6408
Sc 0.3231 0.5510 0.1408
Sc 0.3231 0.9490 0.1408
Sc 0.6769 0.0510 0.8592
Sc 0.6769 0.4490 0.8592
Sc 0.8231 0.5510 0.3592
Sc 0.8231 0.9490 0.3592
P 0.1199 0.7500 0.4090
P 0.3801 0.2500 0.9090
P 0.6199 0.7500 0.0910
P 0.8801 0.2500 0.5910

! TmScP2 PBE-GGA relaxed; values from VASP
! Energy relative to the elements ... -6.125 eV/f.u.
! Energy above the lowest structure with this stoichiometry ... 8.1 meV/atom
! Space group ... No. 141
&SYSTEM
  ibrav = 0, nat = 8, ntyp = 3
/
ATOMIC_SPECIES
Tm 168.93 Tm.upf
Sc 44.96 Sc.upf
P 30.97 P.upf
CELL_PARAMETERS angstrom
-2.7300 2.7300 5.4430
2.7300 -2.7300 5.4430
2.7300 2.7300 -5.4430
ATOMIC_POSITIONS crystal
Tm 0.3750 0.6250 0.7500
Tm 0.6250 0.3750 0.2500
Sc 0.1250 0.8750 0.2500
Sc 0.8750 0.1250 0.7500
P 0.1203 0.3703 0.7500
P 0.3703 0.1203 0.2500
P 0.6297 0.8797 0.7500
P 0.8797 0.6297 0.2500

! Tm2ScP3 PBE-GGA relaxed; values from VASP
! Energy relative to the elements ... -9.336 eV/f.u.
! Energy above the lowest structure with this stoichiometry ... 0.0 meV/atom
! Space group ... No. 12
&SYSTEM
  ibrav = 0, nat = 12, ntyp = 3
/
ATOMIC_SPECIES
Tm 168.93 Tm.upf
Sc 44.96 Sc.upf
P 30.97 P.upf
CELL_PARAMETERS angstrom
3.3670 -5.8313 0.0000
3.3670 5.8313 0.0000
-2.2436 0.0000 6.3432
ATOMIC_POSITIONS crystal
Tm 0.0000 0.0000 0.0000
Tm 0.1653 0.8347 0.5000
Tm 0.5000 0.5000 0.5000
Tm 0.8347 0.1653 0.5000
Sc 0.3329 0.6671 0.0000
Sc 0.6671 0.3329 0.0000
P 0.0810 0.4203 0.2428
P 0.2588 0.2588 0.7583
P 0.4203 0.0810 0.2428
P 0.5797 0.9190 0.7572
P 0.7412 0.7412 0.2417
P 0.9190 0.5797 0.7572

! TmScP PBE-GGA relaxed; values from VASP
! Energy relative to the elements ... -2.771 eV/f.u.
! Energy above the lowest structure with this stoichiometry ... 0.0 meV/atom
! Space group ... No. 156
&SYSTEM
  ibrav = 0, nat = 3, ntyp = 3
/
ATOMIC_SPECIES
Tm 168.93 Tm.upf
Sc 44.96 Sc.upf
P 30.97 P.upf
CELL_PARAMETERS angstrom
3.7526 0.0000 0.0000
-1.8763 3.2499 0.0000
0.0000 0.0000 5.9998
ATOMIC_POSITIONS crystal
Tm 0.0000 0.0000 0.0000
Sc 0.3333 0.6667 0.5064
P 0.6667 0.3333 0.2722

! TmScP2 PBE-GGA relaxed; values from VASP
! Energy relative to the elements ... -6.157 eV/f.u.
! Energy above the lowest structure with this stoichiometry ... 0.0 meV/atom
! Space group ... No. 166
&SYSTEM
  ibrav = 0, nat = 4, ntyp = 3
/
ATOMIC_SPECIES
Tm 168.93 Tm.upf
Sc 44.96 Sc.upf
P 30.97 P.upf
CELL_PARAMETERS angstrom
1.9285 1.1134 6.2815
-1.9285 1.1134 6.2815
0.0000 -2.2269 6.2815
ATOMIC_POSITIONS crystal
Tm 0.0000 0.0000 0.0000
Sc 0.5000 0.5000 0.5000
P 0.2461 0.2461 0.2461
P 0.7539 0.7539 0.7539

! Tm2ScP3 PBE-GGA relaxed; values from VASP
! Energy relative to the elements ... -9.322 eV/f.u.
! Energy above the lowest structure with this stoichiometry ... 2.2 meV/atom
! Space group ... No. 71
&SYSTEM
  ibrav = 0, nat = 6, ntyp = 3
/
ATOMIC_SPECIES
Tm 168.93 Tm.upf
Sc 44.96 Sc.upf
P 30.97 P.upf
CELL_PARAMETERS angstrom
-1.9440 2.7537 5.8229
1.9440 -2.7537 5.8229
1.9440 2.7537 -5.8229
ATOMIC_POSITIONS crystal
Tm 0.1676 0.1676 0.0000
Tm 0.8324 0.8324 0.0000
Sc 0.5000 0.5000 0.0000
P 0.0000 0.5000 0.5000
P 0.3394 0.8394 0.5000
P 0.6606 0.1606 0.5000

! TmScP2 PBE-GGA relaxed; values from VASP
! Energy relative to the elements ... -5.508 eV/f.u.
! Energy above the lowest structure with this stoichiometry ... 162.4 meV/atom
! Space group ... No. 160
&SYSTEM
  ibrav = 0, nat = 4, ntyp = 3
/
ATOMIC_SPECIES
Tm 168.93 Tm.upf
Sc 44.96 Sc.upf
P 30.97 P.upf
CELL_PARAMETERS angstrom
1.9148 1.1055 6.5291
-1.9148 1.1055 6.5291
0.0000 -2.2111 6.5291
ATOMIC_POSITIONS crystal
Tm 0.0000 0.0000 0.0000
Sc 0.8285 0.8285 0.8285
P 0.4165 0.4165 0.4165
P 0.5782 0.5782 0.5782

! Tm3ScP4 PBE-GGA relaxed; values from VASP
! Energy relative to the elements ... -12.542 eV/f.u.
! Space group ... No. 13
&SYSTEM
  ibrav = 0, nat = 16, ntyp = 3
/
ATOMIC_SPECIES
Tm 168.93 Tm.upf
Sc 44.96 Sc.upf
P 30.97 P.upf
CELL_PARAMETERS angstrom
6.7565 0.0000 0.0000
0.0000 7.8131 0.0000
-2.2569 0.0000 6.3708
ATOMIC_POSITIONS crystal
Tm 0.0000 0.1242 0.2500
Tm 0.0000 0.3736 0.7500
Tm 0.0000 0.6264 0.2500
Tm 0.0000 0.8758 0.7500
Tm 0.5000 0.3739 0.2500
Tm 0.5000 0.6261 0.7500
Sc 0.5000 0.1239 0.7500
Sc 0.5000 0.8761 0.2500
P 0.2534 0.3711 0.5040
P 0.2534 0.6289 0.0040
P 0.2578 0.1207 0.9998
P 0.2578 0.8793 0.4998
P 0.7422 0.1207 0.5002
P 0.7422 0.8793 0.0002
P 0.7466 0.3711 0.9960
P 0.7466 0.6289 0.4960

! TmSc4P5 PBE-GGA relaxed; values from VASP
! Energy relative to the elements ... -15.036 eV/f.u.
! Space group ... No. 71
&SYSTEM
  ibrav = 0, nat = 10, ntyp = 3
/
ATOMIC_SPECIES
Tm 168.93 Tm.upf
Sc 44.96 Sc.upf
P 30.97 P.upf
CELL_PARAMETERS angstrom
-1.8975 2.6890 9.4814
1.8975 -2.6890 9.4814
1.8975 2.6890 -9.4814
ATOMIC_POSITIONS crystal
Tm 0.0000 0.0000 0.0000
Sc 0.2019 0.2019 0.0000
Sc 0.3991 0.3991 0.0000
Sc 0.6009 0.6009 0.0000
Sc 0.7981 0.7981 0.0000
P 0.1045 0.6045 0.5000
P 0.3004 0.8004 0.5000
P 0.5000 0.0000 0.5000
P 0.6996 0.1996 0.5000
P 0.8955 0.3955 0.5000

! TmSc2P PBE-GGA relaxed; values from VASP
! Energy relative to the elements ... -2.568 eV/f.u.
! Energy above the lowest structure with this stoichiometry ... 152.2 meV/atom
! Space group ... No. 166
&SYSTEM
  ibrav = 0, nat = 4, ntyp = 3
/
ATOMIC_SPECIES
Tm 168.93 Tm.upf
Sc 44.96 Sc.upf
P 30.97 P.upf
CELL_PARAMETERS angstrom
1.7969 1.0374 8.7440
-1.7969 1.0374 8.7440
0.0000 -2.0749 8.7440
ATOMIC_POSITIONS crystal
Tm 0.0000 0.0000 0.0000
Sc 0.2242 0.2242 0.2242
Sc 0.7758 0.7758 0.7758
P 0.5000 0.5000 0.5000

! TmScP PBE-GGA relaxed; values from VASP
! Energy relative to the elements ... -2.494 eV/f.u.
! Energy above the lowest structure with this stoichiometry ... 92.2 meV/atom
! Space group ... No. 166
&SYSTEM
  ibrav = 0, nat = 6, ntyp = 3
/
ATOMIC_SPECIES
Tm 168.93 Tm.upf
Sc 44.96 Sc.upf
P 30.97 P.upf
CELL_PARAMETERS angstrom
2.2511 1.2997 7.3553
-2.2511 1.2997 7.3553
0.0000 -2.5994 7.3553
ATOMIC_POSITIONS crystal
Tm 0.1233 0.1233 0.1233
Tm 0.8767 0.8767 0.8767
Sc 0.3733 0.3733 0.3733
Sc 0.6267 0.6267 0.6267
P 0.2532 0.2532 0.2532
P 0.7468 0.7468 0.7468

! TmSc3P4 PBE-GGA relaxed; values from VASP
! Energy relative to the elements ... -12.071 eV/f.u.
! Space group ... No. 65
&SYSTEM
  ibrav = 0, nat = 8, ntyp = 3
/
ATOMIC_SPECIES
Tm 168.93 Tm.upf
Sc 44.96 Sc.upf
P 30.97 P.upf
CELL_PARAMETERS angstrom
3.8052 -5.3821 0.0000
3.8052 5.3821 0.0000
0.0000 0.0000 3.8100
ATOMIC_POSITIONS crystal
Tm 0.0000 0.0000 0.0000
Sc 0.0000 0.5000 0.5000
Sc 0.5000 0.0000 0.5000
Sc 0.5000 0.5000 0.0000
P 0.2540 0.7460 0.0000
P 0.2580 0.2580 0.5000
P 0.7420 0.7420 0.5000
P 0.7460 0.2540 0.0000